{"formula": "HoPaSn2", "functional": "GGA-PBE", "state": "relaxed", "lattice_angstrom": [[3.289, 0.000, 0.000], [1.645, 2.849, 0.000], [1.645, 0.950, 11.789]], "species": ["Ho", "Sn", "Sn", "Pa"], "fractional_positions": [[0.500, 0.500, 0.500], [0.910, 0.910, 0.270], [0.090, 0.090, 0.730], [0.000, 0.000, 0.000]], "ef_mev_per_atom": 58, "final_energy_ev_per_atom": -5.462, "space_group": "R-3m, No. 166"}

=====

{"formula": "MgNi5B", "functional": "GGA-PBE", "state": "relaxed", "lattice_angstrom": [[-2.345, -2.491, -0.798], [0.944, 0.193, -3.378], [4.340, -4.395, 0.962]], "species": ["Ni", "Ni", "Ni", "Ni", "Ni", "B", "Mg"], "fractional_positions": [[0.500, 0.000, 0.189], [0.000, 0.500, 0.811], [0.000, 0.500, 0.189], [0.500, 0.500, 0.500], [0.500, 0.000, 0.811], [0.500, 0.500, 0.000], [0.000, 0.000, 0.500]], "ef_mev_per_atom": -99, "final_energy_ev_per_atom": -5.410, "space_group": "P4/mmm, No. 123"}

=====

{"formula": "KZnTe2N", "functional": "GGA-PBE", "state": "relaxed", "lattice_angstrom": [[-1.821, -5.038, 3.755], [5.912, -0.051, 2.800], [-1.667, 3.270, 3.579]], "species": ["Te", "Te", "Zn", "N", "K"], "fractional_positions": [[0.500, 0.000, 0.000], [0.000, 0.500, 0.000], [0.500, 0.500, 0.500], [0.000, 0.000, 0.500], [0.000, 0.000, 0.000]], "final_energy_ev_per_atom": -1.924, "formation_energy_uncorrected_kcal_per_mol_atoms": 33.951, "space_group": "P4/mmm, No. 123"}